{"formula": "MnNbO2", "functional": "GGA+U", "state": "optimized geometry", "cell": [[2.7285, 5.4840, 3.0773], [4.6291, 4.9749, 0.9005], [2.1716, 6.4908, 0.3780]], "species": ["Nb", "Mn", "O", "O"], "fractional_positions": [[0.5000, 0.5000, 0.5000], [0.0000, 0.0000, 0.0000], [0.9016, 0.9016, 0.9016], [0.0984, 0.0984, 0.0984]], "de_polymorph_ev_per_fu": 0.04, "sg": "No. 166"}